[1]
An optimized crystal structure of Pm2Ni5P4, computed with PBE.

```
data_Pm2Ni5P4
_chemical_formula_sum 'Pm8 Ni20 P16'
_symmetry_space_group_name_H-M 'F m m m'
_symmetry_Int_Tables_number 69
_symmetry_space_group_name_Hall '-F 2 2'
_cell_length_a 5.372
_cell_length_b 9.577
_cell_length_c 12.815
_cell_angle_alpha 90.00
_cell_angle_beta 90.00
_cell_angle_gamma 90.00
loop_
_atom_site_label
_atom_site_fract_x
_atom_site_fract_y
_atom_site_fract_z
Pm1 0.000 0.000 0.144
Ni1 0.000 0.000 0.500
Ni2 0.250 0.250 0.000
Ni3 0.250 0.250 0.250
P1 0.000 0.155 0.370
```

Results
ρ, Mg/m³: 7.1
Magnetization, μB/f.u.: 0.00


[2]
An optimized crystal structure of Pm2Ni6P3, computed with PBE.

```
data_Pm2Ni6P3
_chemical_formula_sum 'Pm2 Ni6 P3'
_symmetry_space_group_name_H-M 'P -6 2 m'
_symmetry_Int_Tables_number 189
_symmetry_space_group_name_Hall 'P -6 -2'
_cell_length_a 6.9107
_cell_length_b 6.9107
_cell_length_c 3.9134
_cell_angle_alpha 90.00
_cell_angle_beta 90.00
_cell_angle_gamma 120.00
loop_
_atom_site_label
_atom_site_fract_x
_atom_site_fract_y
_atom_site_fract_z
Pm1 0.3333 0.6667 0.0000
Ni1 0.0000 0.1984 0.0000
Ni2 0.0000 0.6992 0.5000
P1 0.0000 0.3577 0.5000
```

Results
ρ, Mg/m³: 7.5
Magnetization, μB/f.u.: 0.00


[3]
An optimized crystal structure of PmNi5P2, computed with PBE.

```
data_PmNi5P2
_chemical_formula_sum 'Pm2 Ni10 P4'
_symmetry_space_group_name_H-M 'I m m m'
_symmetry_Int_Tables_number 71
_symmetry_space_group_name_Hall '-I 2 2'
_cell_length_a 3.726
_cell_length_b 6.470
_cell_length_c 8.887
_cell_angle_alpha 90.00
_cell_angle_beta 90.00
_cell_angle_gamma 90.00
loop_
_atom_site_label
_atom_site_fract_x
_atom_site_fract_y
_atom_site_fract_z
Pm1 0.000 0.000 0.000
Ni1 0.000 0.188 0.345
Ni2 0.000 0.500 0.000
P1 0.000 0.500 0.244
```

Results
ρ, Mg/m³: 7.8
Magnetization, μB/f.u.: 0.00


[4]
An optimized crystal structure of PmNi3P2, computed with PBE.

```
data_PmNi3P2
_chemical_formula_sum 'Pm6 Ni18 P12'
_symmetry_space_group_name_H-M 'C 1 2/m 1'
_symmetry_Int_Tables_number 12
_cell_length_a 15.176
_cell_length_b 3.773
_cell_length_c 9.222
_cell_angle_alpha 90.00
_cell_angle_beta 106.83
_cell_angle_gamma 90.00
loop_
_symmetry_equiv_pos_as_xyz
'x,y,z'
'-x,-y,-z'
'-x,y,-z'
'x,-y,z'
'x+1/2,y+1/2,z'
'-x+1/2,-y+1/2,-z'
'-x+1/2,y+1/2,-z'
'x+1/2,-y+1/2,z'
loop_
_atom_site_label
_atom_site_fract_x
_atom_site_fract_y
_atom_site_fract_z
Pm1 0.000 0.000 0.000
Pm2 0.154 0.000 0.701
Ni1 0.000 0.500 0.500
Ni2 0.048 0.000 0.342
Ni3 0.132 0.500 0.211
Ni4 0.175 0.500 0.969
Ni5 0.219 0.000 0.394
P1 0.029 0.500 0.778
P2 0.140 0.500 0.452
P3 0.201 0.000 0.129
```

Results
ρ, Mg/m³: 7.6
Magnetization, μB/f.u.: 0.00


no.,DFT formation energy (meV/atom)
1,-804
2,-799
3,-704
4,-899